Computed, not measured: crystalline Li4CoO2F2 at its relaxed geometry at the PBEsol level of DFT.

POSCAR file:
```
Li4CoO2F2
1.0
3.8333 0.0000 0.0000
1.9166 4.5726 -0.0761
1.9166 0.8132 4.8935
F Co O Li
2 1 2 4
Direct
0.2905 0.8105 0.6085 F
0.7095 0.1895 0.3915 F
0.0000 0.0000 0.0000 Co
0.9114 0.3602 0.8170 O
0.0886 0.6398 0.1830 O
0.8406 0.7692 0.5496 Li
0.1594 0.2308 0.4504 Li
0.3607 0.4436 0.8350 Li
0.6393 0.5564 0.1650 Li
```

Results
The crystal system is monoclinic. Its space group is C2/m (12). The value obtained for the volume is 86.0 Å³ per cell. As for the spin magnetization: 0.33 μB/atom. The calculation puts the uncorrected energy at -48.0 eV/cell.

Computed, not measured: crystalline KPt2Br at its relaxed geometry at the PBEsol level of DFT.

POSCAR file:
```
KPt2Br
1.0
-0.7805 -1.6255 -1.9589
1.1525 -4.3485 3.1493
-5.9801 2.2537 0.5126
Br K Pt
1 1 2
Direct
0.5000 0.0000 0.0000 Br
0.5000 0.5000 0.0000 K
0.0000 0.0000 0.5000 Pt
0.0000 0.5000 0.5000 Pt
```

Results
The crystal system is orthorhombic. Its space group is Cmmm (65). The value obtained for the volume is 84.7 Å³ per cell. As for the spin magnetization: 0.01 μB/atom. The calculation puts the uncorrected energy at -15.0 eV/cell.

Computed, not measured: crystalline NdIn7Cu5 at its relaxed geometry at the PBEsol level of DFT.

POSCAR file:
```
NdIn7Cu5
1.0
5.5366 0.0000 0.0000
2.7683 6.5751 -0.0095
2.7683 -0.0242 6.5751
Nd In Cu
1 7 5
Direct
0.9998 0.0002 0.0002 Nd
0.6543 0.3457 0.3457 In
0.3377 0.6623 0.6623 In
0.9867 0.3532 0.6733 In
0.9867 0.6733 0.3532 In
0.2700 0.2300 0.2300 In
0.5137 0.7916 0.1810 In
0.5137 0.1810 0.7916 In
0.4932 0.9930 0.5055 Cu
0.0083 0.9930 0.5055 Cu
0.4932 0.5055 0.9930 Cu
0.0083 0.5055 0.9930 Cu
0.7342 0.7658 0.7658 Cu
```

Results
The crystal system is orthorhombic. Its space group is Imm2 (44). The value obtained for the volume is 239.4 Å³ per cell. As for the spin magnetization: 0.00 μB/atom. The calculation puts the uncorrected energy at -49.5 eV/cell. As for the calculated formation energy: -0.139 eV per atom.

Computed, not measured: crystalline LaScNF2 at its relaxed geometry at the PBEsol level of DFT.

POSCAR file:
```
LaScNF2
1.0
-0.1849 4.2500 1.3374
-1.5201 -1.3184 3.9795
4.6594 -0.3237 1.6725
Sc N F La
1 1 2 1
Direct
0.5000 0.5000 0.5000 Sc
0.0000 0.0000 0.5000 N
0.0000 0.5000 0.0000 F
0.5000 0.0000 0.0000 F
0.0000 0.0000 0.0000 La
```

Results
The crystal system is tetragonal. For the energy above the most stable polymorph in this dataset, the calculation gives 821 meV per atom. Its space group is P4/mmm (123). The value obtained for the volume is 98.7 Å³ per cell. As for the spin magnetization: 0.19 μB/atom. The calculation puts the uncorrected energy at -32.6 eV/cell.

Computed, not measured: crystalline CaSm3 at its relaxed geometry at the PBEsol level of DFT.

POSCAR file:
```
CaSm3
1.0
5.7925 0.0000 0.0000
0.0000 7.2666 0.0000
0.0000 -3.6333 6.2930
Ca Sm
2 6
Direct
0.7500 0.6667 0.3333 Ca
0.2500 0.3333 0.6667 Ca
0.2500 0.3266 0.1633 Sm
0.2500 0.8367 0.1633 Sm
0.2500 0.8367 0.6734 Sm
0.7500 0.6734 0.8367 Sm
0.7500 0.1633 0.8367 Sm
0.7500 0.1633 0.3266 Sm
```

Results
The crystal system is hexagonal. Its space group is P6_3/mmc (194). The value obtained for the volume is 264.9 Å³ per cell. As for the spin magnetization: 0.00 μB/atom. The calculation puts the uncorrected energy at -34.0 eV/cell. As for the calculated formation energy: 0.103 eV per atom.

Computed, not measured: crystalline Li2CuBPt at its relaxed geometry at the PBEsol level of DFT.

POSCAR file:
```
Li2CuBPt
1.0
3.7485 0.0000 0.0000
0.0000 3.9810 0.0000
0.0000 0.0000 3.9810
B Cu Pt Li
1 1 1 2
Direct
0.0000 0.0000 0.0000 B
0.5000 0.0000 0.0000 Cu
0.5000 0.5000 0.5000 Pt
0.0000 0.0000 0.5000 Li
0.0000 0.5000 0.0000 Li
```

Results
The crystal system is tetragonal. Its space group is P4/mmm (123). The value obtained for the volume is 59.4 Å³ per cell. As for the spin magnetization: 0.00 μB/atom. The calculation puts the uncorrected energy at -20.5 eV/cell. As for the calculated formation energy: 0.346 eV per atom.

Computed, not measured: crystalline YHg3Pt at its relaxed geometry at the PBEsol level of DFT.

POSCAR file:
```
YHg3Pt
1.0
-0.9423 -3.1380 -3.8923
4.6226 0.9623 -1.8949
1.9049 -3.8874 2.6729
Y Hg Pt
1 3 1
Direct
0.5000 0.5000 0.5000 Y
0.0000 0.5000 0.0000 Hg
0.0000 0.0000 0.5000 Hg
0.5000 0.0000 0.0000 Hg
0.0000 0.0000 0.0000 Pt
```

Results
The crystal system is cubic. Its space group is Pm-3m (221). The value obtained for the volume is 131.7 Å³ per cell. As for the spin magnetization: 0.00 μB/atom. The calculation puts the uncorrected energy at -15.2 eV/cell. As for the calculated formation energy: 0.055 eV per atom.

Computed, not measured: crystalline CoNi2As at its relaxed geometry at the PBEsol level of DFT.

POSCAR file:
```
CoNi2As
1.0
3.0655 0.0000 0.0000
0.0000 3.0655 0.0000
0.0000 0.0000 4.9250
Ni As Co
2 1 1
Direct
0.0000 0.0000 0.7439 Ni
0.0000 0.0000 0.2561 Ni
0.5000 0.5000 0.0000 As
0.5000 0.5000 0.5000 Co
```

Results
The crystal system is tetragonal. Its space group is P4/mmm (123). The value obtained for the volume is 46.3 Å³ per cell. As for the spin magnetization: 0.50 μB/atom. The calculation puts the uncorrected energy at -25.1 eV/cell. As for the calculated formation energy: 0.018 eV per atom.

Computed, not measured: crystalline CrOs2W at its relaxed geometry at the PBEsol level of DFT.

POSCAR file:
```
CrOs2W
1.0
-3.0853 2.8345 1.0519
-0.9747 0.6900 4.1513
1.0564 3.7465 1.8728
Cr Os W
1 2 1
Direct
0.0000 0.0000 0.0000 Cr
0.2500 0.2500 0.2500 Os
0.7500 0.7500 0.7500 Os
0.5000 0.5000 0.5000 W
```

Results
The crystal system is cubic. For the energy above the most stable polymorph in this dataset, the calculation gives 116 meV per atom. Its space group is Fm-3m (225). The value obtained for the volume is 57.0 Å³ per cell. As for the spin magnetization: 0.84 μB/atom. The calculation puts the uncorrected energy at -47.4 eV/cell. As for the calculated formation energy: 0.276 eV per atom.

Computed, not measured: crystalline FeNiOs2 at its relaxed geometry at the PBEsol level of DFT.

POSCAR file:
```
FeNiOs2
1.0
4.1172 0.0000 0.0000
2.0586 3.5656 0.0000
2.0586 1.1885 3.3617
Fe Ni Os
1 1 2
Direct
0.0000 0.0000 0.0000 Fe
0.5000 0.5000 0.5000 Ni
0.2500 0.2500 0.2500 Os
0.7500 0.7500 0.7500 Os
```

Results
The crystal system is cubic. For the energy above the most stable polymorph in this dataset, the calculation gives 134 meV per atom. Its space group is Fm-3m (225). The value obtained for the volume is 49.4 Å³ per cell. As for the spin magnetization: 0.61 μB/atom. The calculation puts the uncorrected energy at -38.5 eV/cell. As for the calculated formation energy: 0.269 eV per atom.

Computed, not measured: crystalline MgTl2Cd at its relaxed geometry at the PBEsol level of DFT.

POSCAR file:
```
MgTl2Cd
1.0
-2.1371 -2.6692 0.2300
2.6193 -2.1434 -0.5382
1.3792 -0.3916 8.2722
Tl Mg Cd
2 1 1
Direct
0.0000 0.0000 0.9773 Tl
0.5000 0.5000 0.2652 Tl
0.5000 0.5000 0.7336 Mg
0.0000 0.0000 0.5239 Cd
```

Results
The crystal system is tetragonal. For the energy above the most stable polymorph in this dataset, the calculation gives 0 meV per atom. Its space group is P4mm (99). The value obtained for the volume is 98.6 Å³ per cell. As for the spin magnetization: 0.00 μB/atom. The calculation puts the uncorrected energy at -8.2 eV/cell. As for the calculated formation energy: -0.018 eV per atom.

Computed, not measured: crystalline Zn12In17 at its relaxed geometry at the PBEsol level of DFT.

POSCAR file:
```
Zn12In17
1.0
-0.5464 -0.6320 9.1585
-8.1585 -2.0662 -3.7076
6.3551 -5.8779 -3.1048
In Zn
17 12
Direct
0.7165 0.4052 0.4052 In
0.2835 0.6887 0.6887 In
0.0000 0.3113 0.5948 In
0.0000 0.5948 0.3113 In
0.4052 0.7165 0.4052 In
0.6887 0.2835 0.6887 In
0.5948 0.0000 0.3113 In
0.3113 0.0000 0.5948 In
0.4052 0.4052 0.7165 In
0.6887 0.6887 0.2835 In
0.3113 0.5948 0.0000 In
0.5948 0.3113 0.0000 In
0.6655 0.6655 0.6655 In
0.3345 0.0000 0.0000 In
0.0000 0.0000 0.3345 In
0.0000 0.3345 0.0000 In
0.0000 0.0000 0.0000 In
0.1829 0.3638 0.3638 Zn
0.8171 0.1809 0.1809 Zn
0.0000 0.8191 0.6362 Zn
0.0000 0.6362 0.8191 Zn
0.3638 0.1829 0.3638 Zn
0.1809 0.8171 0.1809 Zn
0.6362 0.0000 0.8191 Zn
0.8191 0.0000 0.6362 Zn
0.3638 0.3638 0.1829 Zn
0.1809 0.1809 0.8171 Zn
0.8191 0.6362 0.0000 Zn
0.6362 0.8191 0.0000 Zn
```

Results
The crystal system is cubic. Its space group is I-43m (217). The value obtained for the volume is 598.8 Å³ per cell. As for the spin magnetization: 0.00 μB/atom. The calculation puts the uncorrected energy at -67.2 eV/cell. As for the calculated formation energy: 0.088 eV per atom.